## MgTiH6O2F6 (GGA-PBE)

Data for a relaxed structure of MgTiH6O2F6.

Results
Volume = 11.09 A^3/atom
Theoretical density = 2.098 g cm⁻³
E_tot = -80.39 eV/cell
DOS at the Fermi energy = 0.524 states/eV per atom
Energy above the most stable polymorph in this dataset = 16 meV per atom

Cell: 5.8554 5.8554 5.9757 Å, 90.00 90.00 120.00°
Space group P3 (No. 143)
Symmetry-distinct sites (fractional):
Mg (0.0000, 0.0000, 0.0000) (multiplicity 1)
Ti (0.3333, 0.6667, 0.8489) (multiplicity 1)
H (0.0150, 0.1979, 0.6249) (multiplicity 3)
H (0.5100, 0.1591, 0.1940) (multiplicity 3)
O (0.0000, 0.0000, 0.6620) (multiplicity 1)
O (0.6667, 0.3333, 0.2437) (multiplicity 1)
F (0.0392, 0.4197, 0.6280) (multiplicity 3)
F (0.0838, 0.3448, 0.0907) (multiplicity 3)

## LaGa3Rh (GGA-PBE)

Data for a relaxed structure of LaGa3Rh.

Results
Volume = 34.09 A^3/atom
Theoretical density = 4.394 g cm⁻³
Energy of formation = 1.368 eV per atom
E_tot = -14.52 eV/cell
DOS at the Fermi energy = 1.392 states/eV per atom
Energy above the most stable polymorph in this dataset = 1986 meV per atom

Cell: 5.5444 5.5444 5.5444 Å, 90.00 90.00 90.00°
Space group Pm-3m (No. 221)
Symmetry-distinct sites (fractional):
La (0.0000, 0.0000, 0.0000) (multiplicity 1)
Ga (0.0000, 0.0000, 0.5000) (multiplicity 3)
Rh (0.5000, 0.5000, 0.5000) (multiplicity 1)

## Ba3Hg4Ge2 (GGA-PBE)

Data for a relaxed structure of Ba3Hg4Ge2.

Results
Volume = 32.15 A^3/atom
Theoretical density = 7.803 g cm⁻³
Energy of formation = -0.494 eV per atom
E_tot = -41.32 eV/cell
DOS at the Fermi energy = 0.397 states/eV per atom

Cell: 12.5423 4.8941 9.8057 Å, 90.00 105.96 90.00°
Space group C2/m (No. 12)
Symmetry-distinct sites (fractional):
Ba (0.0000, 0.0000, 0.0000) (multiplicity 2)
Ba (0.1683, 0.5000, 0.6555) (multiplicity 4)
Hg (0.0507, 0.0000, 0.3781) (multiplicity 4)
Hg (0.2213, 0.5000, 0.0671) (multiplicity 4)
Ge (0.1059, 0.5000, 0.2728) (multiplicity 4)

## CaSm2Eu (GGA-PBE)

Data for a relaxed structure of CaSm2Eu.

Results
Volume = 36.81 A^3/atom
Theoretical density = 5.557 g cm⁻³
Energy of formation = 0.142 eV per atom
E_tot = -84.59 eV/cell
DOS at the Fermi energy = 1.252 states/eV per atom
Energy above the most stable polymorph in this dataset = 26 meV per atom

Cell: 8.3822 8.3822 8.3822 Å, 90.00 90.00 90.00°
Space group Fm-3m (No. 225)
Symmetry-distinct sites (fractional):
Ca (0.0000, 0.0000, 0.0000) (multiplicity 4)
Sm (0.2500, 0.2500, 0.2500) (multiplicity 8)
Eu (0.0000, 0.0000, 0.5000) (multiplicity 4)

## CdTe (GGA-PBE)

Data for a relaxed structure of CdTe.

Results
Volume = 39.37 A^3/atom
Theoretical density = 5.062 g cm⁻³
Uncorrected formation energy = -71 kJ/mol of formula units
E_tot = -28.77 eV/cell

Cell: 4.6779 4.6779 24.9264 Å, 90.00 90.00 120.00°
Space group R-3m (No. 166, hexagonal axes)
Symmetry-distinct sites (fractional):
Cd (0.0000, 0.0000, 0.2085) (multiplicity 6)
Te (0.0000, 0.0000, 0.0862) (multiplicity 6)

## Ac2LuBi (GGA-PBE)

Data for a relaxed structure of Ac2LuBi.

Results
Volume = 44.64 A^3/atom
Theoretical density = 7.793 g cm⁻³
Energy of formation = 0.161 eV per atom
E_tot = -47.92 eV/cell
DOS at the Fermi energy = 1.259 states/eV per atom
Energy above the most stable polymorph in this dataset = 489 meV per atom

Cell: 4.2024 4.2024 35.0225 Å, 90.00 90.00 120.00°
Space group R-3m (No. 166, hexagonal axes)
Symmetry-distinct sites (fractional):
Ac (0.0000, 0.0000, 0.1026) (multiplicity 6)
Lu (0.0000, 0.0000, 0.0000) (multiplicity 3)
Bi (0.0000, 0.0000, 0.5000) (multiplicity 3)

## Hf6BiPt (GGA-PBE)

Data for a relaxed structure of Hf6BiPt.

Results
Volume = 21.06 A^3/atom
Theoretical density = 14.539 g cm⁻³
Energy of formation = -0.287 eV per atom
E_tot = -71.94 eV/cell
DOS at the Fermi energy = 0.876 states/eV per atom

Cell: 5.5229 5.5229 5.5229 Å, 90.00 90.00 90.00°
Space group Pm-3 (No. 200)
Symmetry-distinct sites (fractional):
Hf (0.0000, 0.2424, 0.5000) (multiplicity 6)
Bi (0.5000, 0.5000, 0.5000) (multiplicity 1)
Pt (0.0000, 0.0000, 0.0000) (multiplicity 1)

## MgP2Ru (GGA-PBE)

Data for a relaxed structure of MgP2Ru.

Results
Volume = 15.33 A^3/atom
Theoretical density = 5.072 g cm⁻³
Energy of formation = -0.179 eV per atom
E_tot = -44.81 eV/cell
DOS at the Fermi energy = 0.359 states/eV per atom

Cell: 8.5890 3.1001 4.8450 Å, 90.00 108.07 90.00°
Space group Cm (No. 8)
Symmetry-distinct sites (fractional):
Mg (0.0000, 0.0000, 0.0000) (multiplicity 2)
P (0.0087, 0.5000, 0.5186) (multiplicity 2)
P (0.2674, 0.5000, 0.2443) (multiplicity 2)
Ru (0.2370, 0.0000, 0.6012) (multiplicity 2)

## Gd3Bi5Te12 (GGA-PBE)

Data for a relaxed structure of Gd3Bi5Te12.

Results
Volume = 39.19 A^3/atom
Theoretical density = 6.458 g cm⁻³
Uncorrected formation energy = -978 kJ/mol of formula units
E_tot = -875.84 eV/cell
DOS at the Fermi energy = 0.417 states/eV per atom

Cell: 18.4394 18.4394 18.4394 Å, 90.00 90.00 90.00°
Space group Ia-3d (No. 230)
Symmetry-distinct sites (fractional):
Gd (0.0000, 0.2500, 0.1250) (multiplicity 24)
Bi (0.0000, 0.0000, 0.0000) (multiplicity 16)
Bi (0.0000, 0.2500, 0.3750) (multiplicity 24)
Te (0.0134, 0.0701, 0.6543) (multiplicity 96)

## SnIO2 (GGA-PBE)

Data for a relaxed structure of SnIO2.

Results
Volume = 16.31 A^3/atom
Theoretical density = 7.067 g cm⁻³
Uncorrected formation energy = 127 kJ/mol of formula units
E_tot = -56.60 eV/cell
DOS at the Fermi energy = 1.080 states/eV per atom
Energy above the most stable polymorph in this dataset = 1332 meV per atom

Cell: 6.3901 6.3901 6.3901 Å, 90.00 90.00 90.00°
Space group Fm-3m (No. 225)
Symmetry-distinct sites (fractional):
Sn (0.0000, 0.0000, 0.0000) (multiplicity 4)
I (0.0000, 0.0000, 0.5000) (multiplicity 4)
O (0.2500, 0.2500, 0.2500) (multiplicity 8)

## CdP2Ir (GGA-PBE)

Data for a relaxed structure of CdP2Ir.

Results
Volume = 16.26 A^3/atom
Theoretical density = 9.362 g cm⁻³
Energy of formation = 0.127 eV per atom
E_tot = -60.26 eV/cell
DOS at the Fermi energy = 0.398 states/eV per atom

Cell: 3.1684 3.1684 22.4374 Å, 90.00 90.00 120.00°
Space group R3m (No. 160, hexagonal axes)
Symmetry-distinct sites (fractional):
Cd (0.0000, 0.0000, 0.0000) (multiplicity 3)
P (0.0000, 0.0000, 0.2334) (multiplicity 3)
P (0.0000, 0.0000, 0.5044) (multiplicity 3)
Ir (0.0000, 0.0000, 0.7671) (multiplicity 3)

## Ag2HgIrF8 (GGA-PBE)

Data for a relaxed structure of Ag2HgIrF8.

Results
Volume = 16.61 A^3/atom
Theoretical density = 6.335 g cm⁻³
Uncorrected formation energy = -1544 kJ/mol of formula units
E_tot = -45.84 eV/cell
DOS at the Fermi energy = 0.681 states/eV per atom

Cell: 4.9974 7.4695 5.3482 Å, 90.00 93.13 90.00°
Space group P2/m (No. 10)
Symmetry-distinct sites (fractional):
Ag (0.0000, 0.2432, 0.0000) (multiplicity 2)
Hg (0.5000, 0.5000, 0.5000) (multiplicity 1)
Ir (0.5000, 0.0000, 0.5000) (multiplicity 1)
F (0.1756, 0.5000, 0.2305) (multiplicity 2)
F (0.1799, 0.0000, 0.2712) (multiplicity 2)
F (0.3584, 0.1984, 0.7025) (multiplicity 4)

## LiMgInGe (GGA-PBE)

Data for a relaxed structure of LiMgInGe.

Results
Volume = 20.11 A^3/atom
Theoretical density = 4.515 g cm⁻³
Energy of formation = -0.161 eV per atom
E_tot = -46.04 eV/cell
DOS at the Fermi energy = 0.409 states/eV per atom

Cell: 6.8524 6.8524 6.8524 Å, 90.00 90.00 90.00°
Space group F-43m (No. 216)
Symmetry-distinct sites (fractional):
Li (0.0000, 0.0000, 0.0000) (multiplicity 4)
Mg (0.0000, 0.0000, 0.5000) (multiplicity 4)
In (0.2500, 0.2500, 0.2500) (multiplicity 4)
Ge (0.2500, 0.2500, 0.7500) (multiplicity 4)

## AlGe (GGA-PBE)

Data for a relaxed structure of AlGe.

Results
Volume = 21.63 A^3/atom
Theoretical density = 3.823 g cm⁻³
Energy of formation = 0.051 eV per atom
E_tot = -16.52 eV/cell
DOS at the Fermi energy = 0.025 states/eV per atom

Cell: 4.2768 4.2911 5.8375 Å, 69.38 72.17 61.06°
Space group P-1 (No. 2)
Symmetry-distinct sites (fractional):
Al (0.2318, 0.1174, 0.3023) (multiplicity 2)
Ge (0.0879, 0.1948, 0.7871) (multiplicity 2)

## Tb12Nd7Al (GGA-PBE)

Data for a relaxed structure of Tb12Nd7Al.

Results
Volume = 33.67 A^3/atom
Theoretical density = 7.258 g cm⁻³
Energy of formation = 0.170 eV per atom
E_tot = -89.29 eV/cell
DOS at the Fermi energy = 1.455 states/eV per atom

Cell: 7.2342 9.6845 10.0059 Å, 105.21 93.28 93.26°
Space group P-1 (No. 2)
Symmetry-distinct sites (fractional):
Tb (0.0072, 0.2313, 0.1315) (multiplicity 2)
Tb (0.1085, 0.0898, 0.7883) (multiplicity 2)
Tb (0.3130, 0.7735, 0.6254) (multiplicity 2)
Tb (0.3512, 0.4674, 0.3635) (multiplicity 2)
Tb (0.4359, 0.3311, 0.0189) (multiplicity 2)
Tb (0.4512, 0.8737, 0.3261) (multiplicity 2)
Nd (0.1578, 0.6033, 0.1253) (multiplicity 2)
Nd (0.1702, 0.1664, 0.4591) (multiplicity 2)
Nd (0.2425, 0.4462, 0.7466) (multiplicity 2)
Nd (0.5000, 0.0000, 0.0000) (multiplicity 1)
Al (0.0000, 0.5000, 0.5000) (multiplicity 1)

## Rb3Ag2Cl4 (GGA-PBE)

Data for a relaxed structure of Rb3Ag2Cl4.

Results
Volume = 34.72 A^3/atom
Theoretical density = 3.263 g cm⁻³
Uncorrected formation energy = -1045 kJ/mol of formula units
E_tot = -107.30 eV/cell
DOS at the Fermi energy = 0.289 states/eV per atom

Cell: 16.1951 8.8697 8.7374 Å, 90.00 95.22 90.00°
Space group C2/c (No. 15)
Symmetry-distinct sites (fractional):
Rb (0.0000, 0.0180, 0.2500) (multiplicity 4)
Rb (0.1404, 0.4185, 0.8632) (multiplicity 8)
Ag (0.1828, 0.1638, 0.5254) (multiplicity 8)
Cl (0.0315, 0.2766, 0.5186) (multiplicity 8)
Cl (0.2056, 0.0602, 0.8252) (multiplicity 8)

## KB2Ru (GGA-PBE)

Data for a relaxed structure of KB2Ru.

Results
Volume = 22.60 A^3/atom
Theoretical density = 2.972 g cm⁻³
Energy of formation = 0.407 eV per atom
E_tot = -88.40 eV/cell
DOS at the Fermi energy = 0.302 states/eV per atom
Energy above the most stable polymorph in this dataset = 0 meV per atom

Cell: 6.3080 6.3080 9.0879 Å, 90.00 90.00 90.00°
Space group I4_1/amd (No. 141, origin choice 2)
Symmetry-distinct sites (fractional):
K (0.0000, 0.2500, 0.3750) (multiplicity 4)
B (0.0000, 0.0000, 0.0000) (multiplicity 8)
Ru (0.0000, 0.2500, 0.8750) (multiplicity 4)

## Ti2CrIn (GGA-PBE)

Data for a relaxed structure of Ti2CrIn.

Results
Volume = 16.45 A^3/atom
Theoretical density = 6.624 g cm⁻³
Energy of formation = 0.059 eV per atom
E_tot = -27.91 eV/cell
DOS at the Fermi energy = 1.383 states/eV per atom

Cell: 4.3407 4.3407 3.4930 Å, 90.00 90.00 90.00°
Space group P4/mmm (No. 123)
Symmetry-distinct sites (fractional):
Ti (0.0000, 0.5000, 0.0000) (multiplicity 2)
Cr (0.0000, 0.0000, 0.5000) (multiplicity 1)
In (0.5000, 0.5000, 0.5000) (multiplicity 1)

## VICl2 (GGA-PBE)

Data for a relaxed structure of VICl2.

Results
Volume = 32.41 A^3/atom
Theoretical density = 3.186 g cm⁻³
Uncorrected formation energy = -182 kJ/mol of formula units
E_tot = -65.01 eV/cell
DOS at the Fermi energy = 1.214 states/eV per atom
Energy above the most stable polymorph in this dataset = 291 meV per atom

Cell: 7.3769 7.3769 9.5287 Å, 90.00 90.00 90.00°
Space group I-42d (No. 122)
Symmetry-distinct sites (fractional):
V (0.0000, 0.0000, 0.0000) (multiplicity 4)
I (0.0000, 0.0000, 0.5000) (multiplicity 4)
Cl (0.0915, 0.7500, 0.1250) (multiplicity 8)

## PuZnSi (GGA-PBE)

Data for a relaxed structure of PuZnSi.

Results
Volume = 16.40 A^3/atom
Theoretical density = 11.391 g cm⁻³
Uncorrected formation energy = -39 kJ/mol of formula units
E_tot = -42.87 eV/cell
DOS at the Fermi energy = 1.048 states/eV per atom

Cell: 3.9403 3.6393 6.9679 Å, 90.00 100.03 90.00°
Space group P2_1/m (No. 11)
Symmetry-distinct sites (fractional):
Pu (0.1122, 0.2500, 0.1005) (multiplicity 2)
Zn (0.2387, 0.7500, 0.4922) (multiplicity 2)
Si (0.3456, 0.2500, 0.7489) (multiplicity 2)

## Pm2ScI (GGA-PBE)

Data for a relaxed structure of Pm2ScI.

Results
Volume = 34.92 A^3/atom
Theoretical density = 5.491 g cm⁻³
Uncorrected formation energy = -48 kJ/mol of formula units
E_tot = -53.65 eV/cell
DOS at the Fermi energy = 1.066 states/eV per atom
Energy above the most stable polymorph in this dataset = 220 meV per atom

Cell: 3.7576 3.7576 34.2673 Å, 90.00 90.00 120.00°
Space group R-3m (No. 166, hexagonal axes)
Symmetry-distinct sites (fractional):
Pm (0.0000, 0.0000, 0.0886) (multiplicity 6)
Sc (0.0000, 0.0000, 0.5000) (multiplicity 3)
I (0.0000, 0.0000, 0.0000) (multiplicity 3)